(1)
# ZrRe, optimized geometry, DFT PBE
# - formation energy from the elements (meV per atom) = -53
# - space group = P2_1/m (11)
# - calculated volume (Å³/cell) = 71
data_ZrRe
_chemical_formula_sum 'Zr2 Re2'
_cell_length_a 2.946
_cell_length_b 4.580
_cell_length_c 5.405
_cell_angle_alpha 90.00
_cell_angle_beta 101.43
_cell_angle_gamma 90.00
_space_group_name_H-M_alt 'P 1'
_space_group_IT_number 1
_space_group_name_Hall 'P 1'
loop_
_atom_site_label
_atom_site_type_symbol
_atom_site_fract_x
_atom_site_fract_y
_atom_site_fract_z
_atom_site_occupancy
Zr1 Zr 0.135 0.250 0.370 1
Zr2 Zr 0.865 0.750 0.630 1
Re1 Re 0.380 0.750 0.115 1
Re2 Re 0.620 0.250 0.885 1



(2)
# Zr2Re, optimized geometry, DFT PBE
# - formation energy from the elements (meV per atom) = -128
# - space group = P4_2/mnm (136)
# - calculated volume (Å³/cell) = 592
data_Zr2Re
_chemical_formula_sum 'Zr20 Re10'
_cell_length_a 10.250
_cell_length_b 10.250
_cell_length_c 5.635
_cell_angle_alpha 90.00
_cell_angle_beta 90.00
_cell_angle_gamma 90.00
_space_group_name_H-M_alt 'P 1'
_space_group_IT_number 1
_space_group_name_Hall 'P 1'
loop_
_atom_site_label
_atom_site_type_symbol
_atom_site_fract_x
_atom_site_fract_y
_atom_site_fract_z
_atom_site_occupancy
Zr1 Zr 0.032 0.370 0.000 1
Zr2 Zr 0.101 0.101 0.000 1
Zr3 Zr 0.130 0.532 0.500 1
Zr4 Zr 0.184 0.816 0.250 1
Zr5 Zr 0.184 0.816 0.750 1
Zr6 Zr 0.316 0.316 0.250 1
Zr7 Zr 0.316 0.316 0.750 1
Zr8 Zr 0.370 0.032 0.000 1
Zr9 Zr 0.399 0.601 0.500 1
Zr10 Zr 0.468 0.870 0.500 1
Zr11 Zr 0.532 0.130 0.500 1
Zr12 Zr 0.601 0.399 0.500 1
Zr13 Zr 0.630 0.968 0.000 1
Zr14 Zr 0.684 0.684 0.250 1
Zr15 Zr 0.684 0.684 0.750 1
Zr16 Zr 0.816 0.184 0.250 1
Zr17 Zr 0.816 0.184 0.750 1
Zr18 Zr 0.870 0.468 0.500 1
Zr19 Zr 0.899 0.899 0.000 1
Zr20 Zr 0.968 0.630 0.000 1
Re1 Re 0.000 0.000 0.500 1
Re2 Re 0.066 0.248 0.500 1
Re3 Re 0.248 0.066 0.500 1
Re4 Re 0.252 0.566 0.000 1
Re5 Re 0.434 0.748 0.000 1
Re6 Re 0.500 0.500 0.000 1
Re7 Re 0.566 0.252 0.000 1
Re8 Re 0.748 0.434 0.000 1
Re9 Re 0.752 0.934 0.500 1
Re10 Re 0.934 0.752 0.500 1



(3)
# ZrRe6, optimized geometry, DFT PBE
# - formation energy from the elements (meV per atom) = 1432
# - space group = Im-3m (229)
# - calculated volume (Å³/cell) = 161
# - relative energy among the computed polymorphs (eV/atom) = 1.4297
data_ZrRe6
_chemical_formula_sum 'Zr1 Re6'
_cell_length_a 5.936
_cell_length_b 5.936
_cell_length_c 5.936
_cell_angle_alpha 109.47
_cell_angle_beta 109.47
_cell_angle_gamma 109.47
_space_group_name_H-M_alt 'P 1'
_space_group_IT_number 1
_space_group_name_Hall 'P 1'
loop_
_atom_site_label
_atom_site_type_symbol
_atom_site_fract_x
_atom_site_fract_y
_atom_site_fract_z
_atom_site_occupancy
Zr1 Zr 0.000 0.000 0.000 1
Re1 Re 0.250 0.500 0.750 1
Re2 Re 0.250 0.750 0.500 1
Re3 Re 0.500 0.250 0.750 1
Re4 Re 0.500 0.750 0.250 1
Re5 Re 0.750 0.250 0.500 1
Re6 Re 0.750 0.500 0.250 1



(4)
# Zr2Re, optimized geometry, DFT PBE
# - formation energy from the elements (meV per atom) = -91
# - space group = C2/m (12)
# - calculated volume (Å³/cell) = 119
data_Zr2Re
_chemical_formula_sum 'Zr4 Re2'
_cell_length_a 5.641
_cell_length_b 5.641
_cell_length_c 7.206
_cell_angle_alpha 110.74
_cell_angle_beta 110.74
_cell_angle_gamma 33.90
_space_group_name_H-M_alt 'P 1'
_space_group_IT_number 1
_space_group_name_Hall 'P 1'
loop_
_atom_site_label
_atom_site_type_symbol
_atom_site_fract_x
_atom_site_fract_y
_atom_site_fract_z
_atom_site_occupancy
Zr1 Zr 0.002 0.002 0.222 1
Zr2 Zr 0.325 0.325 0.394 1
Zr3 Zr 0.675 0.675 0.606 1
Zr4 Zr 0.998 0.998 0.778 1
Re1 Re 0.325 0.325 0.930 1
Re2 Re 0.675 0.675 0.070 1



(5)
# Zr3Re, optimized geometry, DFT PBE
# - formation energy from the elements (meV per atom) = -109
# - space group = P4/mmm (123)
# - calculated volume (Å³/cell) = 82
data_Zr3Re
_chemical_formula_sum 'Zr3 Re1'
_cell_length_a 3.333
_cell_length_b 3.333
_cell_length_c 7.410
_cell_angle_alpha 90.00
_cell_angle_beta 90.00
_cell_angle_gamma 90.00
_space_group_name_H-M_alt 'P 1'
_space_group_IT_number 1
_space_group_name_Hall 'P 1'
loop_
_atom_site_label
_atom_site_type_symbol
_atom_site_fract_x
_atom_site_fract_y
_atom_site_fract_z
_atom_site_occupancy
Zr1 Zr 0.000 0.000 0.000 1
Zr2 Zr 0.500 0.500 0.284 1
Zr3 Zr 0.500 0.500 0.716 1
Re1 Re 0.000 0.000 0.500 1



(6)
# ZrRe3, optimized geometry, DFT PBE
# - formation energy from the elements (meV per atom) = 39
# - space group = R-3m (166)
# - calculated volume (Å³/cell) = 65
# - relative energy among the computed polymorphs (eV/atom) = 0.0496
data_ZrRe3
_chemical_formula_sum 'Zr1 Re3'
_cell_length_a 5.287
_cell_length_b 5.287
_cell_length_c 5.287
_cell_angle_alpha 117.01
_cell_angle_beta 117.01
_cell_angle_gamma 117.01
_space_group_name_H-M_alt 'P 1'
_space_group_IT_number 1
_space_group_name_Hall 'P 1'
loop_
_atom_site_label
_atom_site_type_symbol
_atom_site_fract_x
_atom_site_fract_y
_atom_site_fract_z
_atom_site_occupancy
Zr1 Zr 0.000 0.000 0.000 1
Re1 Re 0.000 0.500 0.500 1
Re2 Re 0.500 0.000 0.500 1
Re3 Re 0.500 0.500 0.000 1



(7)
# Zr3Re, optimized geometry, DFT PBE
# - formation energy from the elements (meV per atom) = -22
# - space group = P2/m (10)
# - calculated volume (Å³/cell) = 81
data_Zr3Re
_chemical_formula_sum 'Zr3 Re1'
_cell_length_a 3.146
_cell_length_b 4.611
_cell_length_c 5.773
_cell_angle_alpha 90.00
_cell_angle_beta 103.68
_cell_angle_gamma 90.00
_space_group_name_H-M_alt 'P 1'
_space_group_IT_number 1
_space_group_name_Hall 'P 1'
loop_
_atom_site_label
_atom_site_type_symbol
_atom_site_fract_x
_atom_site_fract_y
_atom_site_fract_z
_atom_site_occupancy
Zr1 Zr 0.000 0.000 0.000 1
Zr2 Zr 0.304 0.500 0.729 1
Zr3 Zr 0.696 0.500 0.271 1
Re1 Re 0.500 0.000 0.500 1



(8)
# ZrRe, optimized geometry, DFT PBE
# - formation energy from the elements (meV per atom) = 478
# - space group = P6_3/mmc (194)
# - calculated volume (Å³/cell) = 153
data_ZrRe
_chemical_formula_sum 'Zr4 Re4'
_cell_length_a 4.755
_cell_length_b 4.755
_cell_length_c 7.802
_cell_angle_alpha 90.00
_cell_angle_beta 90.00
_cell_angle_gamma 120.00
_space_group_name_H-M_alt 'P 1'
_space_group_IT_number 1
_space_group_name_Hall 'P 1'
loop_
_atom_site_label
_atom_site_type_symbol
_atom_site_fract_x
_atom_site_fract_y
_atom_site_fract_z
_atom_site_occupancy
Zr1 Zr 0.000 0.000 0.250 1
Zr2 Zr 0.000 0.000 0.750 1
Zr3 Zr 0.333 0.667 0.250 1
Zr4 Zr 0.667 0.333 0.750 1
Re1 Re 0.333 0.667 0.589 1
Re2 Re 0.333 0.667 0.911 1
Re3 Re 0.667 0.333 0.089 1
Re4 Re 0.667 0.333 0.411 1



(9)
# Zr2Re, optimized geometry, DFT PBE
# - formation energy from the elements (meV per atom) = 117
# - space group = I4_1/amd (141)
# - calculated volume (Å³/cell) = 235
data_Zr2Re
_chemical_formula_sum 'Zr8 Re4'
_cell_length_a 15.049
_cell_length_b 15.049
_cell_length_c 15.049
_cell_angle_alpha 164.76
_cell_angle_beta 164.76
_cell_angle_gamma 21.61
_space_group_name_H-M_alt 'P 1'
_space_group_IT_number 1
_space_group_name_Hall 'P 1'
loop_
_atom_site_label
_atom_site_type_symbol
_atom_site_fract_x
_atom_site_fract_y
_atom_site_fract_z
_atom_site_occupancy
Zr1 Zr 0.040 0.790 0.250 1
Zr2 Zr 0.123 0.373 0.750 1
Zr3 Zr 0.210 0.960 0.250 1
Zr4 Zr 0.373 0.123 0.250 1
Zr5 Zr 0.627 0.877 0.750 1
Zr6 Zr 0.790 0.040 0.750 1
Zr7 Zr 0.877 0.627 0.250 1
Zr8 Zr 0.960 0.210 0.750 1
Re1 Re 0.293 0.543 0.750 1
Re2 Re 0.457 0.707 0.750 1
Re3 Re 0.543 0.293 0.250 1
Re4 Re 0.707 0.457 0.250 1



(10)
# Zr5Re3, optimized geometry, DFT PBE
# - formation energy from the elements (meV per atom) = -95
# - space group = Cmmm (65)
# - calculated volume (Å³/cell) = 153
# - relative energy among the computed polymorphs (eV/atom) = 0.0000
data_Zr5Re3
_chemical_formula_sum 'Zr5 Re3'
_cell_length_a 5.881
_cell_length_b 5.881
_cell_length_c 4.663
_cell_angle_alpha 90.00
_cell_angle_beta 90.00
_cell_angle_gamma 108.60
_space_group_name_H-M_alt 'P 1'
_space_group_IT_number 1
_space_group_name_Hall 'P 1'
loop_
_atom_site_label
_atom_site_type_symbol
_atom_site_fract_x
_atom_site_fract_y
_atom_site_fract_z
_atom_site_occupancy
Zr1 Zr 0.000 0.000 0.000 1
Zr2 Zr 0.000 0.500 0.000 1
Zr3 Zr 0.269 0.269 0.500 1
Zr4 Zr 0.500 0.000 0.000 1
Zr5 Zr 0.731 0.731 0.500 1
Re1 Re 0.240 0.760 0.500 1
Re2 Re 0.500 0.500 0.000 1
Re3 Re 0.760 0.240 0.500 1



Repeat the second record exactly.
# Zr2Re, optimized geometry, DFT PBE
# - formation energy from the elements (meV per atom) = -128
# - space group = P4_2/mnm (136)
# - calculated volume (Å³/cell) = 592
data_Zr2Re
_chemical_formula_sum 'Zr20 Re10'
_cell_length_a 10.250
_cell_length_b 10.250
_cell_length_c 5.635
_cell_angle_alpha 90.00
_cell_angle_beta 90.00
_cell_angle_gamma 90.00
_space_group_name_H-M_alt 'P 1'
_space_group_IT_number 1
_space_group_name_Hall 'P 1'
loop_
_atom_site_label
_atom_site_type_symbol
_atom_site_fract_x
_atom_site_fract_y
_atom_site_fract_z
_atom_site_occupancy
Zr1 Zr 0.032 0.370 0.000 1
Zr2 Zr 0.101 0.101 0.000 1
Zr3 Zr 0.130 0.532 0.500 1
Zr4 Zr 0.184 0.816 0.250 1
Zr5 Zr 0.184 0.816 0.750 1
Zr6 Zr 0.316 0.316 0.250 1
Zr7 Zr 0.316 0.316 0.750 1
Zr8 Zr 0.370 0.032 0.000 1
Zr9 Zr 0.399 0.601 0.500 1
Zr10 Zr 0.468 0.870 0.500 1
Zr11 Zr 0.532 0.130 0.500 1
Zr12 Zr 0.601 0.399 0.500 1
Zr13 Zr 0.630 0.968 0.000 1
Zr14 Zr 0.684 0.684 0.250 1
Zr15 Zr 0.684 0.684 0.750 1
Zr16 Zr 0.816 0.184 0.250 1
Zr17 Zr 0.816 0.184 0.750 1
Zr18 Zr 0.870 0.468 0.500 1
Zr19 Zr 0.899 0.899 0.000 1
Zr20 Zr 0.968 0.630 0.000 1
Re1 Re 0.000 0.000 0.500 1
Re2 Re 0.066 0.248 0.500 1
Re3 Re 0.248 0.066 0.500 1
Re4 Re 0.252 0.566 0.000 1
Re5 Re 0.434 0.748 0.000 1
Re6 Re 0.500 0.500 0.000 1
Re7 Re 0.566 0.252 0.000 1
Re8 Re 0.748 0.434 0.000 1
Re9 Re 0.752 0.934 0.500 1
Re10 Re 0.934 0.752 0.500 1